1.
{
  "formula": "TiTcAg3",
  "functional": "PBE-GGA",
  "state": "optimized geometry",
  "cell": [[-0.675, -4.485, -2.025], [4.872, -0.322, -0.911], [0.691, -2.110, 4.444]],
  "species": ["Tc", "Ag", "Ag", "Ag", "Ti"],
  "fractional_positions": [[0.000, 0.000, 0.000], [0.000, 0.500, 0.000], [0.000, 0.000, 0.500], [0.500, 0.000, 0.000], [0.500, 0.500, 0.500]],
  "formation_enthalpy_0k_ev_per_atom": 1.64,
  "de_polymorph_ev_per_fu": 0.00
}

2.
{
  "formula": "Ce2PrRh9",
  "functional": "PBE-GGA",
  "state": "optimized geometry",
  "cell": [[5.294, 0.000, 0.000], [2.647, 4.585, 0.000], [2.647, 1.528, 8.832]],
  "species": ["Ce", "Ce", "Pr", "Rh", "Rh", "Rh", "Rh", "Rh", "Rh", "Rh", "Rh", "Rh"],
  "fractional_positions": [[0.861, 0.861, 0.416], [0.139, 0.139, 0.584], [0.000, 0.000, 0.000], [0.667, 0.667, 0.999], [0.333, 0.333, 0.001], [0.500, 0.500, 0.500], [0.416, 0.416, 0.250], [0.919, 0.416, 0.250], [0.416, 0.919, 0.250], [0.584, 0.584, 0.750], [0.584, 0.081, 0.750], [0.081, 0.584, 0.750]],
  "formation_enthalpy_0k_ev_per_atom": -0.55
}

3.
{
  "formula": "SrCaTc2N4",
  "functional": "PBE-GGA",
  "state": "optimized geometry",
  "cell": [[-0.153, -3.476, 4.353], [1.087, -5.105, -0.471], [4.352, -1.603, 2.440]],
  "species": ["Sr", "Ca", "Tc", "Tc", "N", "N", "N", "N"],
  "fractional_positions": [[0.000, 0.000, 0.000], [0.500, 0.500, 0.500], [0.226, 0.274, 0.274], [0.774, 0.726, 0.726], [0.500, 0.000, 0.500], [0.000, 0.000, 0.500], [0.000, 0.500, 0.000], [0.500, 0.500, 0.000]],
  "total_energy_ev_per_cell": -61.59
}

4.
{
  "formula": "TcBRh3",
  "functional": "PBE-GGA",
  "state": "optimized geometry",
  "cell": [[4.650, 0.000, 0.000], [0.000, 4.650, 0.000], [0.000, 0.000, 4.650]],
  "species": ["B", "Rh", "Rh", "Rh", "Tc"],
  "fractional_positions": [[0.500, 0.500, 0.500], [0.000, 0.500, 0.000], [0.000, 0.000, 0.500], [0.500, 0.000, 0.000], [0.000, 0.000, 0.000]],
  "formation_enthalpy_0k_ev_per_atom": 2.03,
  "de_polymorph_ev_per_fu": 9.39
}

5.
{
  "formula": "PmSmDyHg",
  "functional": "PBE-GGA",
  "state": "optimized geometry",
  "cell": [[-3.210, 0.934, -1.521], [-1.362, -3.305, 0.845], [-2.803, 3.164, 7.856]],
  "species": ["Pm", "Sm", "Dy", "Hg"],
  "fractional_positions": [[0.000, 0.000, 0.076], [0.500, 0.500, 0.792], [0.500, 0.500, 0.354], [0.000, 0.000, 0.563]],
  "formation_enthalpy_0k_ev_per_atom": -0.23,
  "de_polymorph_ev_per_fu": 0.00
}

6.
{
  "formula": "Ce4Nd2Pb3O2",
  "functional": "PBE-GGA",
  "state": "optimized geometry",
  "cell": [[-1.976, 4.265, -0.786], [-3.078, -0.771, 3.556], [11.035, 3.774, 7.177]],
  "species": ["Ce", "Ce", "Ce", "Ce", "Nd", "Nd", "Pb", "Pb", "Pb", "O", "O"],
  "fractional_positions": [[0.415, 0.915, 0.831], [0.915, 0.415, 0.831], [0.085, 0.585, 0.169], [0.585, 0.085, 0.169], [0.303, 0.303, 0.607], [0.697, 0.697, 0.393], [0.000, 0.000, 0.000], [0.178, 0.178, 0.356], [0.822, 0.822, 0.644], [0.400, 0.400, 0.800], [0.600, 0.600, 0.200]],
  "total_energy_ev_per_cell": -68.56
}

no.,calculated volume (Å³/f.u.)
1,122.6
2,214.4
3,107.5
4,100.6
5,120.3
6,301.5